Entry 1:
Here is PrPaSn2 after structural relaxation from Alexandria. Energies are from GGA-PBE.

Values from the calculation:
Excess energy over the best structure of this formula in the dataset (meV per atom): 0
Density of states at the Fermi level (states/eV/cell): 5.08
Total magnetic moment (Bohr magnetons per cell): 0.39

Lattice parameters (Å, degrees): 3.4589 3.4589 9.0819 90.00 90.00 90.00
Closest atoms and distances in Å follow each position.
Space group P4/mmm (No. 123)
One atom of each set of equivalent atoms:
Pr1 0.0000 0.0000 0.0000 [1 per cell]  8 Sn 3.39, 4 Pr 3.46
Pa1 0.0000 0.0000 0.5000 [1 per cell]  8 Sn 3.29, 4 Pa 3.46
Sn1 0.5000 0.5000 0.2577 [2 per cell]  4 Pa 3.29, 4 Pr 3.39, 4 Sn 3.46

=====

Entry 2:
Here is PrPaSn2 after structural relaxation from Alexandria. Energies are from GGA-PBE.

Values from the calculation:
Excess energy over the best structure of this formula in the dataset (meV per atom): 75
Density of states at the Fermi level (states/eV/cell): 7.41
Total magnetic moment (Bohr magnetons per cell): 0.00

Lattice parameters (Å, degrees): 4.4887 4.4887 21.8300 90.00 90.00 120.00
Closest atoms and distances in Å follow each position.
Space group R-3m (No. 166, hexagonal axes)
One atom of each set of equivalent atoms:
Pr1 0.0000 0.0000 0.0000 [3 per cell]  6 Sn 3.24
Pa1 0.0000 0.0000 0.5000 [3 per cell]  6 Sn 3.10
Sn1 0.0000 0.0000 0.2442 [6 per cell]  3 Pa 3.10, 3 Pr 3.24

=====

Entry 3:
Here is PrPaSn2 after structural relaxation from Alexandria. Energies are from GGA-PBE.

Values from the calculation:
Excess energy over the best structure of this formula in the dataset (meV per atom): 133
Density of states at the Fermi level (states/eV/cell): 29.47
Total magnetic moment (Bohr magnetons per cell): 9.80

Lattice parameters (Å, degrees): 7.6671 7.6671 7.6671 90.00 90.00 90.00
Closest atoms and distances in Å follow each position.
Space group Fm-3m (No. 225)
One atom of each set of equivalent atoms:
Pr1 0.0000 0.0000 0.0000 [4 per cell]  8 Sn 3.32
Pa1 0.0000 0.0000 0.5000 [4 per cell]  8 Sn 3.32
Sn1 0.2500 0.2500 0.2500 [8 per cell]  4 Pr 3.32, 4 Pa 3.32

=====

Entry 4:
Here is PrPaSn2 after structural relaxation from Alexandria. Energies are from GGA-PBE.

Values from the calculation:
Excess energy over the best structure of this formula in the dataset (meV per atom): 50
Density of states at the Fermi level (states/eV/cell): 5.93
Total magnetic moment (Bohr magnetons per cell): 1.01

Lattice parameters (Å, degrees): 4.9784 4.9784 4.4207 90.00 90.00 90.00
Closest atoms and distances in Å follow each position.
Space group P4/mmm (No. 123)
One atom of each set of equivalent atoms:
Pr1 0.0000 0.0000 0.0000 [1 per cell]  8 Sn 3.33, 4 Pa 3.52
Pa1 0.5000 0.5000 0.0000 [1 per cell]  8 Sn 3.33, 4 Pr 3.52
Sn1 0.0000 0.5000 0.5000 [2 per cell]  4 Pa 3.33, 4 Pr 3.33, 4 Sn 3.52

=====

Look up the excess energy over the best structure of this formula in the dataset of the second one. 75 meV per atom